Record 1
DFT (GGA-PBE) results for a relaxed BaLa2Pm crystal.

Unit cell a=3.8449 b=3.8449 c=38.1247 alpha=90.00 beta=90.00 gamma=120.00
Closest atoms and distances in Å follow each position.
Space group R3m (No. 160, hexagonal axes)
One atom of each set of equivalent atoms:
Ba: 0.0000 0.0000 0.0000  6 Ba 3.84, 6 La 4.08-4.14
La: 0.0000 0.0000 0.4232  3 Pm 3.65, 6 La 3.84, 3 Ba 4.08
La: 0.0000 0.0000 0.5751  3 Pm 3.65, 6 La 3.84
Pm: 0.0000 0.0000 0.8326  6 La 3.65, 6 Pm 3.84

## Properties
distance to the lowest polymorph of the same formula	15	meV/atom
theoretical density	5.72	g/cm³
energy relative to the elements	0.1086	eV/atom
N(E_F)	19.70	states/eV/cell
size of the total moment	0.0	μB/cell

Record 2
DFT (GGA-PBE) results for a relaxed TiGa2Ru crystal.

Unit cell a=3.8376 b=3.8376 c=4.0369 alpha=90.00 beta=90.00 gamma=90.00
Closest atoms and distances in Å follow each position.
Space group P4/mmm (No. 123)
One atom of each set of equivalent atoms:
Ti: 0.0000 0.0000 0.0000  4 Ru 2.71, 8 Ga 2.78
Ga: 0.0000 0.5000 0.5000  4 Ga 2.71, 4 Ru 2.78, 4 Ti 2.78
Ru: 0.5000 0.5000 0.0000  4 Ti 2.71, 8 Ga 2.78

## Properties
theoretical density	8.05	g/cm³
energy relative to the elements	-0.3690	eV/atom
N(E_F)	2.94	states/eV/cell
size of the total moment	0.0	μB/cell

Record 3
DFT (GGA-PBE) results for a relaxed MgInSb2 crystal.

Unit cell a=4.8921 b=4.8921 c=8.7385 alpha=90.00 beta=90.00 gamma=90.00
Closest atoms and distances in Å follow each position.
Space group I4/mmm (No. 139)
One atom of each set of equivalent atoms:
Mg: 0.0000 0.0000 0.0000  8 Sb 3.28, 4 In 3.46
In: 0.0000 0.0000 0.5000  8 Sb 3.28, 4 Mg 3.46
Sb: 0.0000 0.5000 0.2500  4 In 3.28, 4 Mg 3.28, 4 Sb 3.46

## Properties
distance to the lowest polymorph of the same formula	102	meV/atom
theoretical density	6.08	g/cm³
N(E_F)	4.78	states/eV/cell
size of the total moment	0.0	μB/cell
formation energy from raw total energies	1.5	kJ per mole of atoms

Record 4
DFT (GGA-PBE) results for a relaxed Li2SnP6O18 crystal.

Unit cell a=7.2708 b=7.6126 c=7.7196 alpha=89.26 beta=73.46 gamma=67.66
Closest atoms and distances in Å follow each position.
Space group P1 (No. 1)
One atom of each set of equivalent atoms:
Li: 0.0000 0.0000 0.0000  3 O 1.86-1.99
Li: 0.1834 0.8287 0.2624  4 O 1.97-2.18
Sn: 0.4980 0.3991 0.6575  6 O 2.05-2.09
P: 0.0525 0.5633 0.0119  4 O 1.48-1.61
P: 0.3652 0.8736 0.6419  4 O 1.48-1.62
P: 0.4452 0.1228 0.3650  3 O 1.46-1.63
P: 0.6641 0.5297 0.9986  4 O 1.47-1.64
P: 0.7516 0.9405 0.5474  4 O 1.47-1.62
P: 0.8891 0.3135 0.2438  4 O 1.48-1.63
O: 0.0049 0.4575 0.1906  2 P 1.60-1.61
O: 0.0318 0.1091 0.2174  1 P 1.48
O: 0.0572 0.7474 0.0662  1 P 1.48
O: 0.2133 0.0063 0.8023  1 P 1.48
O: 0.2460 0.4193 0.8744  1 P 1.52
O: 0.3432 0.9723 0.4574  2 P 1.62-1.64
O: 0.3536 0.6795 0.6179  1 P 1.53
O: 0.3570 0.3024 0.5026  1 P 1.55
O: 0.4358 0.1451 0.1790  1 P 1.46
O: 0.4772 0.6706 0.1312  1 P 1.47
O: 0.6055 0.8257 0.6316  2 P 1.62
O: 0.6523 0.4608 0.8204  1 P 1.52
O: 0.6746 0.1198 0.6813  1 P 1.54
O: 0.6842 0.0074 0.3672  2 P 1.62-1.63
O: 0.7355 0.3997 0.4295  1 P 1.51
O: 0.7696 0.3363 0.0902  2 P 1.63-1.64
O: 0.8554 0.6007 0.9391  2 P 1.61-1.62
O: 0.9749 0.8149 0.4962  1 P 1.47

## Properties
theoretical density	2.67	g/cm³
N(E_F)	0.00	states/eV/cell
size of the total moment	0.1	μB/cell
formation energy from raw total energies	-200.7	kJ per mole of atoms

Record 5
DFT (GGA-PBE) results for a relaxed Ce2MgCu2Ni5 crystal.

Unit cell a=9.1528 b=9.1528 c=3.7026 alpha=90.00 beta=90.00 gamma=90.00
Closest atoms and distances in Å follow each position.
Space group P4/mbm (No. 127)
One atom of each set of equivalent atoms:
Ce: 0.1811 0.3189 0.0000  3 Cu 2.63-2.78
Mg: 0.0000 0.0000 0.0000  8 Ni 2.76
Cu: 0.1154 0.6154 0.0000  6 Ni 2.38-2.46, 1 Ce 2.63
Ni: 0.0000 0.5000 0.5000  4 Cu 2.38
Ni: 0.0643 0.7851 0.5000  2 Cu 2.46, 1 Ni 2.68

## Properties
theoretical density	7.76	g/cm³
energy relative to the elements	-0.1767	eV/atom
N(E_F)	17.83	states/eV/cell
size of the total moment	0.0	μB/cell

Record 6
DFT (GGA-PBE) results for a relaxed Tb7SmEr12 crystal.

Unit cell a=12.7462 b=12.7462 c=13.5326 alpha=90.00 beta=90.00 gamma=120.00
Closest atoms and distances in Å follow each position.
Space group R-3 (No. 148, hexagonal axes)
One atom of each set of equivalent atoms:
Tb: 0.0000 0.0000 0.0000  6 Er 3.05
Tb: 0.0684 0.8670 0.3482  2 Er 3.05-3.35, 1 Tb 3.05, 1 Sm 3.05
Sm: 0.0000 0.0000 0.5000  6 Tb 3.05
Er: 0.0025 0.4366 0.7487  3 Er 3.31-3.51, 3 Tb 3.35-3.55
Er: 0.0683 0.2004 0.8476  2 Tb 3.05, 2 Er 3.07-3.31

## Properties
distance to the lowest polymorph of the same formula	0	meV/atom
theoretical density	8.56	g/cm³
energy relative to the elements	0.3024	eV/atom
N(E_F)	51.65	states/eV/cell
size of the total moment	0.0	μB/cell

Record 7
DFT (GGA-PBE) results for a relaxed Pm3CoI crystal.

Unit cell a=9.0117 b=3.9524 c=9.0605 alpha=90.00 beta=112.20 gamma=90.00
Closest atoms and distances in Å follow each position.
Space group P2_1/m (No. 11)
One atom of each set of equivalent atoms:
Pm: 0.0372 0.2500 0.1976  1 Co 2.95
Pm: 0.2621 0.7500 0.5489  2 Co 2.70
Pm: 0.3862 0.7500 0.2204  2 Co 2.69
Co: 0.3765 0.2500 0.4181  5 Pm 2.69-2.95, 2 Co 2.93
I: 0.2856 0.2500 0.8841  7 Pm 3.36-3.56

## Properties
distance to the lowest polymorph of the same formula	0	meV/atom
theoretical density	6.90	g/cm³
N(E_F)	6.76	states/eV/cell
size of the total moment	0.0	μB/cell
formation energy from raw total energies	-39.1	kJ per mole of atoms

Record 8
DFT (GGA-PBE) results for a relaxed CaPu2O8 crystal.

Unit cell a=9.8590 b=6.8076 c=5.3861 alpha=90.00 beta=103.19 gamma=90.00
Closest atoms and distances in Å follow each position.
Space group C2/m (No. 12)
One atom of each set of equivalent atoms:
Ca: 0.0000 0.0000 0.0000  6 O 2.34-2.42
Pu: 0.2188 0.5000 0.4621  2 O 1.80-1.82
O: 0.1157 0.5000 0.6991  1 Pu 1.80
O: 0.1427 0.2070 0.3227  2 Pu 2.11-2.20
O: 0.1799 0.0000 0.7823  1 Pu 1.82

## Properties
theoretical density	6.19	g/cm³
N(E_F)	9.26	states/eV/cell
size of the total moment	4.0	μB/cell
formation energy from raw total energies	-229.2	kJ per mole of atoms

Record 9
DFT (GGA-PBE) results for a relaxed Pm2Sm2DyEr4 crystal.

Unit cell a=18.6864 b=3.6003 c=9.5754 alpha=90.00 beta=115.78 gamma=90.00
Closest atoms and distances in Å follow each position.
Space group C2/m (No. 12)
One atom of each set of equivalent atoms:
Pm: 0.1655 0.0000 0.0016  3 Er 3.55, 2 Dy 3.57, 3 Sm 3.58-3.59, 4 Pm 3.60-3.65
Sm: 0.1472 0.5000 0.6630  7 Er 3.50-3.61, 3 Pm 3.58-3.59, 2 Sm 3.60
Dy: 0.0000 0.5000 0.0000  6 Er 3.54-3.55, 4 Pm 3.57, 2 Dy 3.60
Er: 0.0194 0.0000 0.3326  4 Sm 3.52-3.61, 2 Dy 3.54, 1 Pm 3.55, 5 Er 3.57-3.60
Er: 0.1849 0.5000 0.3359  3 Sm 3.50-3.61, 6 Er 3.52-3.60, 2 Pm 3.55, 1 Dy 3.55

## Properties
theoretical density	8.14	g/cm³
energy relative to the elements	0.0011	eV/atom
N(E_F)	24.28	states/eV/cell
size of the total moment	0.0	μB/cell

Record 10
DFT (GGA-PBE) results for a relaxed Cs5InI5 crystal.

Unit cell a=17.2718 b=7.7232 c=10.8629 alpha=90.00 beta=108.73 gamma=90.00
Closest atoms and distances in Å follow each position.
Space group C2/m (No. 12)
One atom of each set of equivalent atoms:
Cs: 0.0000 0.0000 0.0000  4 I 3.84-3.88
Cs: 0.1633 0.5000 0.3326  5 I 3.82-3.90
Cs: 0.1712 0.5000 0.8274  5 I 3.83-4.00
In: 0.0000 0.0000 0.5000  6 I 3.63-3.86
I: 0.0000 0.5000 0.5000  4 Cs 3.82-3.83, 2 In 3.86
I: 0.1564 0.0000 0.3429  1 In 3.63, 5 Cs 3.84-3.98
I: 0.1608 0.0000 0.8197  1 In 3.69, 5 Cs 3.87-4.00

## Properties
theoretical density	3.42	g/cm³
N(E_F)	6.61	states/eV/cell
size of the total moment	1.4	μB/cell
formation energy from raw total energies	-113.3	kJ per mole of atoms

Record 11
DFT (GGA-PBE) results for a relaxed Cs2BaCe3O8 crystal.

Unit cell a=7.3224 b=7.3224 c=21.2845 alpha=90.00 beta=90.00 gamma=120.00
Closest atoms and distances in Å follow each position.
Space group R3m (No. 160, hexagonal axes)
One atom of each set of equivalent atoms:
Cs: 0.0000 0.0000 0.0000  4 O 3.03-3.06
Cs: 0.0000 0.0000 0.3606  6 O 2.96-3.29
Ba: 0.0000 0.0000 0.8172  3 O 2.50
Ce: 0.1680 0.3360 0.1946  6 O 2.26-2.39
O: 0.0000 0.0000 0.1437  3 Ce 2.39
O: 0.0000 0.0000 0.5780  3 Ce 2.35
O: 0.0600 0.5300 0.1401  2 Ce 2.26, 1 Ba 2.50
O: 0.1760 0.3521 0.9041  2 Ce 2.26

## Properties
theoretical density	4.80	g/cm³
N(E_F)	0.00	states/eV/cell
size of the total moment	0.0	μB/cell
formation energy from raw total energies	-273.0	kJ per mole of atoms

Record 12
DFT (GGA-PBE) results for a relaxed CoAs2Br crystal.

Unit cell a=3.7090 b=3.7090 c=20.0562 alpha=90.00 beta=90.00 gamma=120.00
Closest atoms and distances in Å follow each position.
Space group R-3m (No. 166, hexagonal axes)
One atom of each set of equivalent atoms:
Co: 0.0000 0.0000 0.0000  6 As 2.37
As: 0.0000 0.0000 0.2827  3 Co 2.37
Br: 0.0000 0.0000 0.5000  6 As 3.16

## Properties
distance to the lowest polymorph of the same formula	122	meV/atom
theoretical density	6.02	g/cm³
N(E_F)	10.69	states/eV/cell
size of the total moment	0.0	μB/cell
formation energy from raw total energies	-0.2	kJ per mole of atoms